The following is a DFT calculation (PBE with a Hubbard U) of BaCr2F after structural relaxation.

Results
VASP energy: -18.23 eV per cell
volume: 116 Å³ per cell
size of the total moment: 2.759 μB per atom

Cell and atoms, written as POSCAR:
```
BaCr2F
1.0
0.0000 3.8670 3.8670
3.8670 0.0000 3.8670
3.8670 3.8670 0.0000
Cr Ba F
2 1 1
Direct
0.2500 0.2500 0.2500
0.7500 0.7500 0.7500
0.5000 0.5000 0.5000
0.0000 0.0000 0.0000
```